DFT (GGA-PBE) results for an optimized crystal structure of AgGeBi.

Cell lengths 4.4875, 4.4875, 4.1614 Å; angles 90.00, 90.00, 120.00 degrees
Space group P3m1 (No. 156)
Unique sites:
Ag1 0.0000 0.0000 0.0000 [1 per cell]
Ge1 0.6667 0.3333 0.8934 [1 per cell]
Bi1 0.3333 0.6667 0.4063 [1 per cell]

For the spin magnetization, the calculation gives 0.00 μB/f.u. As for the excess energy over the best structure of this formula in the dataset: 0.0616 eV/atom. The density is 8.91 g/cm³. The value obtained for the formation energy is 236 meV per atom. The value obtained for the calculated total energy is -10.64 eV per formula unit.